The following is a DFT calculation (PBE) of an optimized crystal structure of TlInAgHg.

CIF file:
```
data_TlInAgHg
_chemical_formula_sum 'Tl4 In4 Ag4 Hg4'
_cell_length_a 7.378
_cell_length_b 7.378
_cell_length_c 7.378
_cell_angle_alpha 90.00
_cell_angle_beta 90.00
_cell_angle_gamma 90.00
_space_group_name_H-M_alt 'F -4 3 m'
_space_group_IT_number 216
_space_group_name_Hall 'F -4 2 3'
loop_
_atom_site_label
_atom_site_fract_x
_atom_site_fract_y
_atom_site_fract_z
_atom_site_occupancy
Tl1 0.000 0.000 0.000 1
In1 0.000 0.000 0.500 1
Ag1 0.250 0.250 0.250 1
Hg1 0.250 0.250 0.750 1
```

Computed properties:
Its calculated formation energy is 0.082 eV per atom. The calculation puts the calculated density at 10.381 g cm⁻³.